No. 1
# MnReMo

An optimized crystal structure of MnReMo (PBE-GGA, Alexandria via LeMat-Bulk).

Properties
uncorrected energy	-10.61	eV/atom
magnetization	1.4	Bohr magnetons per cell
calculated volume	85	Å³/cell
offset from the most stable computed form	137	meV/atom
mass density	13.2	Mg/m³

abc: 2.717 3.792 8.253
angles: 90.00 90.00 90.00
Space group Imm2 (No. 44)
Asymmetric unit:
Mn 0.000 0.000 0.000 x2
Re 0.000 0.000 0.346 x2
Mo 0.000 0.000 0.669 x2



No. 2
# Mn2ReMo

An optimized crystal structure of Mn2ReMo (PBE-GGA, Alexandria via LeMat-Bulk).

Properties
uncorrected energy	-10.14	eV/atom
magnetization	2.4	Bohr magnetons per cell
calculated volume	161	Å³/cell
mass density	12.1	Mg/m³

abc: 2.6793 2.6793 25.9174
angles: 90.00 90.00 120.00
Space group R3m (No. 160, hexagonal axes)
Asymmetric unit:
Mn 0.0000 0.0000 0.0000 x3
Mn 0.0000 0.0000 0.2612 x3
Re 0.0000 0.0000 0.7481 x3
Mo 0.0000 0.0000 0.5091 x3



No. 3
# Mn2ReMo

An optimized crystal structure of Mn2ReMo (PBE-GGA, Alexandria via LeMat-Bulk).

Properties
uncorrected energy	-10.22	eV/atom
magnetization	0.1	Bohr magnetons per cell
calculated volume	55	Å³/cell
mass density	11.9	Mg/m³

abc: 2.616 3.849 5.448
angles: 90.00 90.00 90.00
Space group Pmm2 (No. 25)
Asymmetric unit:
Mn 0.000 0.000 0.000 x1
Mn 0.500 0.500 0.224 x1
Re 0.500 0.500 0.758 x1
Mo 0.000 0.000 0.480 x1